#one
Below is a relaxed structure of VRuF2, with properties calculated at the PBE with a Hubbard U level.

The structure in POSCAR format:
```
VRuF2
1.0
1.725 0.000 9.272
-0.863 1.494 9.272
-0.863 -1.494 9.272
V F Ru
1 2 1
Direct
0.500 0.500 0.500
0.875 0.875 0.875
0.125 0.125 0.125
0.000 0.000 0.000
```

Calculated values
The value obtained for the theoretical density is 4.40 g/cm3. Its total magnetization is 5.87 Bohr magnetons per cell. Its space group is R-3m (166).



#two
Below is a relaxed structure of VRuF2, with properties calculated at the PBE with a Hubbard U level.

The structure in POSCAR format:
```
VRuF2
1.0
-0.376 -3.164 -1.925
2.438 1.245 -2.523
6.674 -4.028 1.716
F V Ru
4 2 2
Direct
0.375 0.379 0.750
0.875 0.871 0.750
0.129 0.625 0.250
0.621 0.125 0.250
0.250 0.750 0.500
0.500 0.500 0.000
0.750 0.250 0.500
0.000 0.000 0.000
```

Calculated values
The value obtained for the theoretical density is 6.04 g/cm3. Its total magnetization is 1.83 Bohr magnetons per cell. Its space group is I-42d (122).



#three
Below is a relaxed structure of VRuF2, with properties calculated at the PBE with a Hubbard U level.

The structure in POSCAR format:
```
VRuF2
1.0
0.000 2.990 2.990
2.990 0.000 2.990
2.990 2.990 0.000
F V Ru
2 1 1
Direct
0.250 0.250 0.250
0.750 0.750 0.750
0.000 0.000 0.000
0.500 0.500 0.500
```

Calculated values
The value obtained for the theoretical density is 5.90 g/cm3. Its total magnetization is 5.59 Bohr magnetons per cell. Its space group is Fm-3m (225).



Which structure is the least stable? The one labeled #three.



#one
Below is a relaxed structure of V2RuF, with properties calculated at the PBE with a Hubbard U level.

The structure in POSCAR format:
```
V2RuF
1.0
0.000 3.077 3.077
3.077 0.000 3.077
3.077 3.077 0.000
V F Ru
2 1 1
Direct
0.750 0.750 0.750
0.250 0.250 0.250
0.000 0.000 0.000
0.500 0.500 0.500
```

Calculated values
The value obtained for the theoretical density is 6.33 g/cm3. Its total magnetization is 4.97 Bohr magnetons per cell. Its space group is Fm-3m (225).



#two
Below is a relaxed structure of V2RuF, with properties calculated at the PBE with a Hubbard U level.

The structure in POSCAR format:
```
V2RuF
1.0
-4.350 -1.084 -4.155
4.050 -3.003 -3.456
-0.920 -4.854 -2.266
V F Ru
4 2 2
Direct
0.175 0.625 0.250
0.575 0.125 0.250
0.875 0.825 0.750
0.375 0.425 0.750
0.250 0.750 0.500
0.500 0.500 0.000
0.750 0.250 0.500
0.000 0.000 0.000
```

Calculated values
The value obtained for the theoretical density is 5.99 g/cm3. Its total magnetization is 9.02 Bohr magnetons per cell. Its space group is I-42d (122).



Which structure is the least stable? The one labeled #one.